Material: AcLaSn4
Method: DFT, PBE
State: optimized geometry

Structure (POSCAR):
```
AcLaSn4
1.0
2.430 -11.298 0.000
2.430 11.298 0.000
0.000 0.000 6.803
Ac La Sn
2 2 8
direct
0.226 0.774 0.750
0.774 0.226 0.250
0.073 0.927 0.250
0.927 0.073 0.750
0.075 0.925 0.750
0.354 0.646 0.013
0.354 0.646 0.487
0.500 0.500 0.000
0.500 0.500 0.500
0.646 0.354 0.513
0.646 0.354 0.987
0.925 0.075 0.250
```

Results
Calculated formation energy = -0.59 eV/atom
E above lowest polymorph = 0 meV per atom
SG = Cmcm